No. 1
The following is a GGA-PBE calculation of an optimized crystal structure of Tl2OsCl6, from Alexandria via LeMat-Bulk.

Unit cell a=6.2507 b=6.9949 c=6.9949 alpha=60.07 beta=89.15 gamma=89.15
Closest atoms and distances in Å follow each position.
Sites, in units of the cell vectors:
Cl 0.7863 0.1600 0.6835  1 Os 2.35
Cl 0.7840 0.1605 0.1605  1 Os 2.35
Cl 0.2137 0.8400 0.3165  1 Os 2.35
Os 0.0000 0.0000 0.0000  6 Cl 2.35
Cl 0.2160 0.8395 0.8395  1 Os 2.35
Cl 0.7863 0.6835 0.1600  1 Os 2.35
Tl 0.1830 0.3315 0.3315  9 Cl 3.26-3.51
Tl 0.8170 0.6685 0.6685  9 Cl 3.26-3.51
Cl 0.2137 0.3165 0.8400  1 Os 2.35

- total energy (eV/cell) = -33.477
- E_form (uncorrected) (eV/atom) = -0.71
- DOS at the Fermi energy (states/eV/cell) = 5.5
- distance to the lowest polymorph of the same formula (eV per atom) = 0.0000
- theoretical density (g cm⁻³) = 5.09

=====

No. 2
The following is a GGA-PBE calculation of an optimized crystal structure of TlOs2Cl, from Alexandria via LeMat-Bulk.

Unit cell a=4.9323 b=3.1860 c=4.6816 alpha=89.80 beta=90.00 gamma=90.00
Closest atoms and distances in Å follow each position.
Sites, in units of the cell vectors:
Cl 0.5000 0.7500 0.7500  4 Os 2.79, 4 Tl 2.83-2.84
Tl 0.5000 0.2500 0.2500  4 Cl 2.83-2.84, 4 Os 2.93
Os 0.0000 0.9033 0.0081  2 Os 2.46-2.61
Os 0.0000 0.5967 0.4919  2 Os 2.46-2.61

- total energy (eV/cell) = -21.912
- E_form (uncorrected) (eV/atom) = 1.19
- DOS at the Fermi energy (states/eV/cell) = 2.6
- distance to the lowest polymorph of the same formula (eV per atom) = 0.8254
- theoretical density (g cm⁻³) = 14.00

=====

No. 3
The following is a GGA-PBE calculation of an optimized crystal structure of TlOsCl2, from Alexandria via LeMat-Bulk.

Unit cell a=5.6137 b=5.6137 c=6.1870 alpha=63.69 beta=63.69 gamma=37.05
Closest atoms and distances in Å follow each position.
Sites, in units of the cell vectors:
Cl 0.9843 0.9843 0.9152  2 Os 2.39
Cl 0.1441 0.1441 0.3365  2 Os 2.39
Os 0.5514 0.5514 0.6256  4 Cl 2.39
Tl 0.8201 0.8201 0.6227  3 Os 2.85-3.05, 2 Cl 3.05

- total energy (eV/cell) = -16.850
- E_form (uncorrected) (eV/atom) = 0.11
- DOS at the Fermi energy (states/eV/cell) = 2.7
- distance to the lowest polymorph of the same formula (eV per atom) = 0.0000
- theoretical density (g cm⁻³) = 7.44

=====

No. 4
The following is a GGA-PBE calculation of an optimized crystal structure of TlOs2Cl, from Alexandria via LeMat-Bulk.

Unit cell a=4.6315 b=4.6315 c=4.6315 alpha=60.00 beta=60.00 gamma=60.00
Closest atoms and distances in Å follow each position.
Sites, in units of the cell vectors:
Cl 0.5000 0.5000 0.5000  4 Tl 2.84, 4 Os 2.84
Os 0.2500 0.2500 0.2500  4 Cl 2.84, 4 Os 2.84
Os 0.0000 0.0000 0.0000  4 Os 2.84, 4 Tl 2.84
Tl 0.7500 0.7500 0.7500  4 Cl 2.84, 4 Os 2.84

- total energy (eV/cell) = -21.124
- E_form (uncorrected) (eV/atom) = 1.39
- DOS at the Fermi energy (states/eV/cell) = 4.3
- distance to the lowest polymorph of the same formula (eV per atom) = 1.0225
- theoretical density (g cm⁻³) = 14.66